<w>
Entry from the Alexandria database: a relaxed PrTm2Pa crystal (GGA-PBE).

```
data_PrTm2Pa
_cell_length_a 3.4307
_cell_length_b 3.4307
_cell_length_c 34.7338
_cell_angle_alpha 90.00
_cell_angle_beta 90.00
_cell_angle_gamma 120.00
_symmetry_space_group_name_H-M 'R 3 m'
_symmetry_Int_Tables_number 160
_symmetry_space_group_name_Hall 'R 3 -2"'
loop_
_atom_site_label
_atom_site_type_symbol
_atom_site_fract_x
_atom_site_fract_y
_atom_site_fract_z
_atom_site_occupancy
Pr1 Pr 0.0000 0.0000 0.0000 1
Tm1 Tm 0.0000 0.0000 0.4203 1
Tm2 Tm 0.0000 0.0000 0.5790 1
Pa1 Pa 0.0000 0.0000 0.1661 1
```

=====

<x>
Entry from the Alexandria database: a relaxed PrTm2Pa crystal (GGA-PBE).

```
data_PrTm2Pa
_cell_length_a 3.3343
_cell_length_b 3.3343
_cell_length_c 36.9119
_cell_angle_alpha 90.00
_cell_angle_beta 90.00
_cell_angle_gamma 120.00
_symmetry_space_group_name_H-M 'R -3 m'
_symmetry_Int_Tables_number 166
_symmetry_space_group_name_Hall '-R 3 2"'
loop_
_atom_site_label
_atom_site_type_symbol
_atom_site_fract_x
_atom_site_fract_y
_atom_site_fract_z
_atom_site_occupancy
Pr1 Pr 0.0000 0.0000 0.0000 1
Tm1 Tm 0.0000 0.0000 0.4137 1
Pa1 Pa 0.0000 0.0000 0.5000 1
```

=====

In order of decreasing stability: <w>, <x>.

=====

<w>
Entry from the Alexandria database: a relaxed Pr2TmPa crystal (GGA-PBE).

```
data_Pr2TmPa
_cell_length_a 3.3882
_cell_length_b 3.3882
_cell_length_c 37.4652
_cell_angle_alpha 90.00
_cell_angle_beta 90.00
_cell_angle_gamma 120.00
_symmetry_space_group_name_H-M 'R -3 m'
_symmetry_Int_Tables_number 166
_symmetry_space_group_name_Hall '-R 3 2"'
loop_
_atom_site_label
_atom_site_type_symbol
_atom_site_fract_x
_atom_site_fract_y
_atom_site_fract_z
_atom_site_occupancy
Pr1 Pr 0.0000 0.0000 0.0865 1
Tm1 Tm 0.0000 0.0000 0.5000 1
Pa1 Pa 0.0000 0.0000 0.0000 1
```

=====

<x>
Entry from the Alexandria database: a relaxed Pr2TmPa crystal (GGA-PBE).

```
data_Pr2TmPa
_cell_length_a 3.4593
_cell_length_b 3.4593
_cell_length_c 10.4604
_cell_angle_alpha 90.00
_cell_angle_beta 90.00
_cell_angle_gamma 90.00
_symmetry_space_group_name_H-M 'P 4/m m m'
_symmetry_Int_Tables_number 123
_symmetry_space_group_name_Hall '-P 4 2'
loop_
_atom_site_label
_atom_site_type_symbol
_atom_site_fract_x
_atom_site_fract_y
_atom_site_fract_z
_atom_site_occupancy
Pr1 Pr 0.0000 0.0000 0.2355 1
Tm1 Tm 0.5000 0.5000 0.5000 1
Pa1 Pa 0.5000 0.5000 0.0000 1
```

=====

In order of decreasing stability: <x>, <w>.

=====

<w>
Entry from the Alexandria database: a relaxed Pr2YPa crystal (GGA-PBE).

```
data_Pr2YPa
_cell_length_a 3.4708
_cell_length_b 3.4708
_cell_length_c 10.5723
_cell_angle_alpha 90.00
_cell_angle_beta 90.00
_cell_angle_gamma 90.00
_symmetry_space_group_name_H-M 'P 4/m m m'
_symmetry_Int_Tables_number 123
_symmetry_space_group_name_Hall '-P 4 2'
loop_
_atom_site_label
_atom_site_type_symbol
_atom_site_fract_x
_atom_site_fract_y
_atom_site_fract_z
_atom_site_occupancy
Pr1 Pr 0.0000 0.0000 0.2312 1
Y1 Y 0.5000 0.5000 0.5000 1
Pa1 Pa 0.5000 0.5000 0.0000 1
```

=====

<x>
Entry from the Alexandria database: a relaxed Pr2YPa crystal (GGA-PBE).

```
data_Pr2YPa
_cell_length_a 3.4046
_cell_length_b 3.4046
_cell_length_c 37.7493
_cell_angle_alpha 90.00
_cell_angle_beta 90.00
_cell_angle_gamma 120.00
_symmetry_space_group_name_H-M 'R -3 m'
_symmetry_Int_Tables_number 166
_symmetry_space_group_name_Hall '-R 3 2"'
loop_
_atom_site_label
_atom_site_type_symbol
_atom_site_fract_x
_atom_site_fract_y
_atom_site_fract_z
_atom_site_occupancy
Pr1 Pr 0.0000 0.0000 0.0857 1
Y1 Y 0.0000 0.0000 0.5000 1
Pa1 Pa 0.0000 0.0000 0.0000 1
```

=====

In order of decreasing stability: <w>, <x>.

=====

<w>
Entry from the Alexandria database: a relaxed PrPaZn crystal (GGA-PBE).

```
data_PrPaZn
_cell_length_a 5.0523
_cell_length_b 5.0523
_cell_length_c 3.3679
_cell_angle_alpha 90.00
_cell_angle_beta 90.00
_cell_angle_gamma 120.00
_symmetry_space_group_name_H-M 'P 3 m 1'
_symmetry_Int_Tables_number 156
_symmetry_space_group_name_Hall 'P 3 -2"'
loop_
_atom_site_label
_atom_site_type_symbol
_atom_site_fract_x
_atom_site_fract_y
_atom_site_fract_z
_atom_site_occupancy
Pr1 Pr 0.0000 0.0000 0.0000 1
Pa1 Pa 0.3333 0.6667 0.6035 1
Zn1 Zn 0.6667 0.3333 0.2966 1
```

=====

<x>
Entry from the Alexandria database: a relaxed PrPaZn crystal (GGA-PBE).

```
data_PrPaZn
_cell_length_a 5.3282
_cell_length_b 9.2161
_cell_length_c 6.2676
_cell_angle_alpha 90.00
_cell_angle_beta 90.00
_cell_angle_gamma 90.00
_symmetry_space_group_name_H-M 'C m c m'
_symmetry_Int_Tables_number 63
_symmetry_space_group_name_Hall '-C 2c 2'
loop_
_atom_site_label
_atom_site_type_symbol
_atom_site_fract_x
_atom_site_fract_y
_atom_site_fract_z
_atom_site_occupancy
Pr1 Pr 0.0000 0.1664 0.2500 1
Pa1 Pa 0.0000 0.5000 0.0000 1
Zn1 Zn 0.0000 0.1671 0.7500 1
```

=====

In order of decreasing stability: <x>, <w>.

=====

<w>
Entry from the Alexandria database: a relaxed PrPaZn2 crystal (GGA-PBE).

```
data_PrPaZn2
_cell_length_a 3.5299
_cell_length_b 3.5299
_cell_length_c 7.5358
_cell_angle_alpha 90.00
_cell_angle_beta 90.00
_cell_angle_gamma 90.00
_symmetry_space_group_name_H-M 'P 4/m m m'
_symmetry_Int_Tables_number 123
_symmetry_space_group_name_Hall '-P 4 2'
loop_
_atom_site_label
_atom_site_type_symbol
_atom_site_fract_x
_atom_site_fract_y
_atom_site_fract_z
_atom_site_occupancy
Pr1 Pr 0.0000 0.0000 0.0000 1
Pa1 Pa 0.0000 0.0000 0.5000 1
Zn1 Zn 0.5000 0.5000 0.2620 1
```

=====

<x>
Entry from the Alexandria database: a relaxed PrPaZn2 crystal (GGA-PBE).

```
data_PrPaZn2
_cell_length_a 3.3390
_cell_length_b 3.3390
_cell_length_c 29.7466
_cell_angle_alpha 90.00
_cell_angle_beta 90.00
_cell_angle_gamma 120.00
_symmetry_space_group_name_H-M 'R -3 m'
_symmetry_Int_Tables_number 166
_symmetry_space_group_name_Hall '-R 3 2"'
loop_
_atom_site_label
_atom_site_type_symbol
_atom_site_fract_x
_atom_site_fract_y
_atom_site_fract_z
_atom_site_occupancy
Pr1 Pr 0.0000 0.0000 0.0000 1
Pa1 Pa 0.0000 0.0000 0.5000 1
Zn1 Zn 0.0000 0.0000 0.2477 1
```

=====

In order of decreasing stability: <w>, <x>.

=====

<w>
Entry from the Alexandria database: a relaxed Pa3Pt crystal (GGA-PBE).

```
data_Pa3Pt
_cell_length_a 3.3091
_cell_length_b 10.0680
_cell_length_c 5.6072
_cell_angle_alpha 90.00
_cell_angle_beta 90.00
_cell_angle_gamma 90.00
_symmetry_space_group_name_H-M 'I m m 2'
_symmetry_Int_Tables_number 44
_symmetry_space_group_name_Hall 'I 2 -2'
loop_
_atom_site_label
_atom_site_type_symbol
_atom_site_fract_x
_atom_site_fract_y
_atom_site_fract_z
_atom_site_occupancy
Pa1 Pa 0.0000 0.0000 0.0000 1
Pa2 Pa 0.0000 0.2313 0.5452 1
Pt1 Pt 0.0000 0.5000 0.9402 1
```

=====

<x>
Entry from the Alexandria database: a relaxed Pa3Pt crystal (GGA-PBE).

```
data_Pa3Pt
_cell_length_a 4.4542
_cell_length_b 4.4542
_cell_length_c 9.1922
_cell_angle_alpha 90.00
_cell_angle_beta 90.00
_cell_angle_gamma 90.00
_symmetry_space_group_name_H-M 'I 4/m m m'
_symmetry_Int_Tables_number 139
_symmetry_space_group_name_Hall '-I 4 2'
loop_
_atom_site_label
_atom_site_type_symbol
_atom_site_fract_x
_atom_site_fract_y
_atom_site_fract_z
_atom_site_occupancy
Pa1 Pa 0.0000 0.0000 0.0000 1
Pa2 Pa 0.0000 0.5000 0.2500 1
Pt1 Pt 0.0000 0.0000 0.5000 1
```

=====

In order of decreasing stability: <w>, <x>.

=====

<w>
Entry from the Alexandria database: a relaxed Pa3Pt crystal (GGA-PBE).

```
data_Pa3Pt
_cell_length_a 4.5392
_cell_length_b 5.0068
_cell_length_c 4.0218
_cell_angle_alpha 90.00
_cell_angle_beta 90.00
_cell_angle_gamma 90.00
_symmetry_space_group_name_H-M 'P m m 2'
_symmetry_Int_Tables_number 25
_symmetry_space_group_name_Hall 'P 2 -2'
loop_
_atom_site_label
_atom_site_type_symbol
_atom_site_fract_x
_atom_site_fract_y
_atom_site_fract_z
_atom_site_occupancy
Pa1 Pa 0.0000 0.0000 0.0000 1
Pa2 Pa 0.0000 0.5000 0.3475 1
Pa3 Pa 0.5000 0.5000 0.8604 1
Pt1 Pt 0.5000 0.0000 0.4774 1
```

=====

<x>
Entry from the Alexandria database: a relaxed Pa3Pt crystal (GGA-PBE).

```
data_Pa3Pt
_cell_length_a 6.4565
_cell_length_b 3.4029
_cell_length_c 8.7845
_cell_angle_alpha 90.00
_cell_angle_beta 99.45
_cell_angle_gamma 90.00
_symmetry_space_group_name_H-M 'P 1 21/m 1'
_symmetry_Int_Tables_number 11
_symmetry_space_group_name_Hall '-P 2yb'
loop_
_atom_site_label
_atom_site_type_symbol
_atom_site_fract_x
_atom_site_fract_y
_atom_site_fract_z
_atom_site_occupancy
Pa1 Pa 0.0415 0.2500 0.3331 1
Pa2 Pa 0.2079 0.2500 0.9369 1
Pa3 Pa 0.3669 0.7500 0.6082 1
Pt1 Pt 0.3470 0.7500 0.1927 1
```

=====

In order of decreasing stability: <x>, <w>.

=====

<w>
Entry from the Alexandria database: a relaxed Pa4Pt crystal (GGA-PBE).

```
data_Pa4Pt
_cell_length_a 5.3560
_cell_length_b 5.3560
_cell_length_c 5.3560
_cell_angle_alpha 90.00
_cell_angle_beta 90.00
_cell_angle_gamma 90.00
_symmetry_space_group_name_H-M 'P m -3 m'
_symmetry_Int_Tables_number 221
_symmetry_space_group_name_Hall '-P 4 2 3'
loop_
_atom_site_label
_atom_site_type_symbol
_atom_site_fract_x
_atom_site_fract_y
_atom_site_fract_z
_atom_site_occupancy
Pa1 Pa 0.0000 0.0000 0.0000 1
Pa2 Pa 0.0000 0.5000 0.5000 1
Pt1 Pt 0.5000 0.5000 0.5000 1
```

=====

<x>
Entry from the Alexandria database: a relaxed Pa4Pt crystal (GGA-PBE).

```
data_Pa4Pt
_cell_length_a 6.6913
_cell_length_b 6.6913
_cell_length_c 5.3377
_cell_angle_alpha 90.00
_cell_angle_beta 90.00
_cell_angle_gamma 90.00
_symmetry_space_group_name_H-M 'P 4/m c c'
_symmetry_Int_Tables_number 124
_symmetry_space_group_name_Hall '-P 4 2c'
loop_
_atom_site_label
_atom_site_type_symbol
_atom_site_fract_x
_atom_site_fract_y
_atom_site_fract_z
_atom_site_occupancy
Pa1 Pa 0.1410 0.3203 0.0000 1
Pt1 Pt 0.5000 0.5000 0.2500 1
```

=====

In order of decreasing stability: <x>, <w>.